Entry 1:
Entry from the Alexandria database: a crystal of LiIn2Ru relaxed with PBEsol (meta-GGA SCAN).

Computed properties:
- space group = I-4m2, No. 119
- calculated total energy (eV/atom) = -26.10
- calculated density (g/cm3) = 8.394
- volume (A^3/atom) = 16.70

Cell lengths 3.857, 3.857, 5.253 Å; angles 111.54, 111.54, 90.00 degrees
Site moments in Bohr magnetons follow the coordinates.
Element x y z (fractional)
Li  0.500  0.500  0.000  0.00
In  0.000  0.000  0.000  -0.02
Ru  0.250  0.750  0.500  0.70
In  0.750  0.250  0.500  0.01

Entry 2:
Entry from the Alexandria database: a crystal of Li3InS relaxed with PBEsol (meta-GGA SCAN).

Computed properties:
- space group = Pm-3m, No. 221
- calculated total energy (eV/atom) = -10.72
- calculated density (g/cm3) = 2.834
- volume (A^3/atom) = 19.65
- formation energy (no corrections) (meV/atom) = -685

Cell lengths 4.614, 4.614, 4.614 Å; angles 90.00, 90.00, 90.00 degrees
Element x y z (fractional)
Li  0.000  0.500  0.000
Li  0.500  0.000  0.000
In  0.500  0.500  0.500
Li  0.000  0.000  0.500
S  0.000  0.000  0.000

Entry 3:
Entry from the Alexandria database: a crystal of LiInS3 relaxed with PBEsol (meta-GGA SCAN).

Computed properties:
- space group = Pm-3m, No. 221
- calculated total energy (eV/atom) = -12.67
- calculated density (g/cm3) = 4.092
- volume (A^3/atom) = 17.69
- formation energy (no corrections) (meV/atom) = 258

Cell lengths 4.455, 4.455, 4.455 Å; angles 90.00, 90.00, 90.00 degrees
Element x y z (fractional)
In  0.500  0.500  0.500
Li  0.000  0.000  0.000
S  0.000  0.500  0.000
S  0.000  0.000  0.500
S  0.500  0.000  0.000

Entry 4:
Entry from the Alexandria database: a crystal of Li2In2SiS6 relaxed with PBEsol (meta-GGA SCAN).

Computed properties:
- space group = Cc, No. 9
- calculated total energy (eV/atom) = -13.68
- calculated density (g/cm3) = 3.239
- volume (A^3/atom) = 21.63
- formation energy (no corrections) (meV/atom) = -1011

Cell lengths 6.967, 6.967, 11.967 Å; angles 90.69, 106.33, 119.76 degrees
Element x y z (fractional)
S  0.132  0.962  0.565
S  0.090  0.206  0.805
S  0.495  0.663  0.620
In  0.692  0.923  0.812
S  0.076  0.686  0.800
Li  0.649  0.405  0.662
In  0.390  0.121  0.312
Li  0.757  0.012  0.162
S  0.727  0.264  0.496
In  0.093  0.770  0.007
Li  0.400  0.396  0.002
S  0.102  0.433  0.065
S  0.457  0.125  0.120
Li  0.106  0.602  0.502
Si  0.245  0.542  0.251
In  0.738  0.914  0.507
S  0.126  0.252  0.332
S  0.732  0.768  0.996
S  0.614  0.724  0.300
S  0.099  0.715  0.305
Si  0.209  0.007  0.751
S  0.579  0.206  0.832

Entry 5:
Entry from the Alexandria database: a crystal of LiInSb2 relaxed with PBEsol (meta-GGA SCAN).

Computed properties:
- space group = P2/m, No. 10
- calculated total energy (eV/atom) = -27.72
- calculated density (g/cm3) = 6.165
- volume (A^3/atom) = 24.60
- formation energy (no corrections) (meV/atom) = -148

Cell lengths 3.162, 4.342, 7.167 Å; angles 90.00, 90.07, 90.00 degrees
Element x y z (fractional)
Sb  0.001  0.000  0.707
In  0.500  0.500  0.000
Sb  0.999  0.000  0.293
Li  0.500  0.500  0.500

Entry 6:
Entry from the Alexandria database: a crystal of LiIn4Sb relaxed with PBEsol (meta-GGA SCAN).

Computed properties:
- space group = F-43m, No. 216
- calculated total energy (eV/atom) = -28.77
- calculated density (g/cm3) = 6.131
- volume (A^3/atom) = 26.54
- formation energy (no corrections) (meV/atom) = 99

Cell lengths 6.084, 6.084, 6.084 Å; angles 60.00, 60.00, 60.00 degrees
Element x y z (fractional)
Sb  0.000  0.000  0.000
In  0.375  0.375  0.875
In  0.375  0.375  0.375
In  0.375  0.875  0.375
In  0.875  0.375  0.375
Li  0.750  0.750  0.750

Entry 7:
Entry from the Alexandria database: a crystal of LiInSb2 relaxed with PBEsol (meta-GGA SCAN).

Computed properties:
- space group = Pmmm, No. 47
- calculated total energy (eV/atom) = -27.71
- calculated density (g/cm3) = 6.265
- volume (A^3/atom) = 24.20
- formation energy (no corrections) (meV/atom) = -137

Cell lengths 4.587, 4.627, 4.561 Å; angles 90.00, 90.00, 90.00 degrees
Element x y z (fractional)
In  0.500  0.000  0.500
Li  0.000  0.500  0.500
Sb  0.000  0.000  0.000
Sb  0.500  0.500  0.000

Entry 8:
Entry from the Alexandria database: a crystal of LiInSb2 relaxed with PBEsol (meta-GGA SCAN).

Computed properties:
- space group = Immm, No. 71
- calculated total energy (eV/atom) = -27.71
- calculated density (g/cm3) = 6.247
- volume (A^3/atom) = 24.27
- formation energy (no corrections) (meV/atom) = -136

Cell lengths 4.400, 4.795, 5.636 Å; angles 115.17, 112.98, 90.00 degrees
Element x y z (fractional)
Li  0.000  0.500  0.000
Sb  0.747  0.747  0.495
Sb  0.253  0.253  0.505
In  0.500  0.000  0.000

Entry 9:
Entry from the Alexandria database: a crystal of Li3InSb relaxed with PBEsol (meta-GGA SCAN).

Computed properties:
- space group = Pm-3m, No. 221
- calculated total energy (eV/atom) = -15.73
- calculated density (g/cm3) = 3.229
- volume (A^3/atom) = 26.48
- formation energy (no corrections) (meV/atom) = -163

Cell lengths 5.097, 5.097, 5.097 Å; angles 90.00, 90.00, 90.00 degrees
Element x y z (fractional)
Li  0.500  0.000  0.000
Sb  0.000  0.000  0.000
Li  0.000  0.000  0.500
In  0.500  0.500  0.500
Li  0.000  0.500  0.000

Entry 10:
Entry from the Alexandria database: a crystal of LiSc2In2 relaxed with PBEsol (meta-GGA SCAN).

Computed properties:
- space group = P4/mbm, No. 127
- calculated total energy (eV/atom) = -19.94
- calculated density (g/cm3) = 4.911
- volume (A^3/atom) = 22.08

Cell lengths 4.373, 7.106, 7.106 Å; angles 90.00, 90.00, 90.00 degrees
Element x y z (fractional)
In  0.000  0.145  0.355
Sc  0.500  0.840  0.340
Li  0.000  0.500  0.500
In  0.000  0.355  0.855
In  0.000  0.855  0.645
Li  0.000  0.000  0.000
Sc  0.500  0.340  0.160
In  0.000  0.645  0.145
Sc  0.500  0.160  0.660
Sc  0.500  0.660  0.840

Entry 11:
Entry from the Alexandria database: a crystal of Li2ScIn2 relaxed with PBEsol (meta-GGA SCAN).

Computed properties:
- space group = P4/mbm, No. 127
- calculated total energy (eV/atom) = -17.55
- calculated density (g/cm3) = 5.085
- volume (A^3/atom) = 18.84

Cell lengths 3.025, 7.892, 7.892 Å; angles 90.00, 90.00, 90.00 degrees
Site moments in Bohr magnetons follow the coordinates.
Element x y z (fractional)
In  0.500  0.181  0.681  0.00
In  0.500  0.819  0.319  0.00
Sc  0.000  0.500  0.500  0.28
In  0.500  0.681  0.819  0.00
Li  0.000  0.884  0.616  0.00
Li  0.000  0.116  0.384  0.00
In  0.500  0.319  0.181  0.00
Li  0.000  0.384  0.884  0.00
Sc  0.000  0.000  0.000  0.28
Li  0.000  0.616  0.116  0.00

Entry 12:
Entry from the Alexandria database: a crystal of Li2Sc2In relaxed with PBEsol (meta-GGA SCAN).

Computed properties:
- space group = I4/mmm, No. 139
- calculated total energy (eV/atom) = -13.34
- calculated density (g/cm3) = 3.460
- volume (A^3/atom) = 20.98

Cell lengths 3.347, 3.347, 9.657 Å; angles 99.98, 99.98, 90.00 degrees
Site moments in Bohr magnetons follow the coordinates.
Element x y z (fractional)
Sc  0.396  0.396  0.792  0.33
Li  0.750  0.250  0.500  0.04
Sc  0.604  0.604  0.208  0.33
In  0.000  0.000  0.000  0.00
Li  0.250  0.750  0.500  0.04

The highest volume belongs to which entry? LiIn4Sb

The lowest calculated total energy belongs to which entry? LiIn4Sb

Among the records above, which one has the lowest calculated density? Li3InS